(1)
Entry from the Alexandria database: a geometry-optimized Nd2Dy3Cd2 structure (PBE).

Cell: 3.5879 3.5400 16.6464 Å, 90.00 96.19 90.00°
Last column: nearest neighbours and their distance in Å.
Fractional coordinates of all 7 atoms:
Nd  0.2977  0.5000  0.5953  4 Cd 3.34, 6 Nd 3.54-3.63
Nd  0.7023  0.5000  0.4047  4 Cd 3.34, 6 Nd 3.54-3.63
Dy  0.4255  0.5000  0.8511  4 Cd 3.24, 8 Dy 3.53-3.59
Dy  0.5745  0.5000  0.1489  4 Cd 3.24, 8 Dy 3.53-3.59
Dy  0.0000  0.0000  0.0000  12 Dy 3.53-3.59
Cd  0.1360  0.0000  0.2721  4 Dy 3.24, 4 Nd 3.34, 4 Cd 3.54-3.59
Cd  0.8640  0.0000  0.7279  4 Dy 3.24, 4 Nd 3.34, 4 Cd 3.54-3.59

Values from the calculation:
polymorph energy (0 for the lowest one) = 0.034 eV per atom
DOS at the Fermi energy = 1.170 states/eV/atom
symmetry = Cmmm
electronic total energy = -3.7059 eV per atom
ΔE_f = -110 meV/atom

(2)
Entry from the Alexandria database: a geometry-optimized Nd3Dy3Cd2 structure (PBE).

Cell: 5.3135 6.4829 15.8288 Å, 90.00 90.00 114.19°
Last column: nearest neighbours and their distance in Å.
Fractional coordinates of all 16 atoms:
Nd  0.9622  0.9243  0.3932  1 Cd 3.24, 4 Dy 3.49-3.60, 2 Nd 3.50-3.54
Nd  0.0378  0.0757  0.8932  1 Cd 3.24, 4 Dy 3.49-3.60, 2 Nd 3.50-3.54
Nd  0.9622  0.9243  0.1068  1 Cd 3.24, 4 Dy 3.49-3.60, 2 Nd 3.50-3.54
Nd  0.0378  0.0757  0.6068  1 Cd 3.24, 4 Dy 3.49-3.60, 2 Nd 3.50-3.54
Nd  0.7326  0.4651  0.2500  4 Cd 3.23, 3 Dy 3.30-3.57, 2 Nd 3.54
Nd  0.2674  0.5349  0.7500  4 Cd 3.23, 3 Dy 3.30-3.57, 2 Nd 3.54
Dy  0.6430  0.2859  0.4657  3 Cd 3.04-3.27
Dy  0.3570  0.7141  0.9657  3 Cd 3.04-3.27
Dy  0.6430  0.2859  0.0343  3 Cd 3.04-3.27
Dy  0.3570  0.7141  0.5343  3 Cd 3.04-3.27
Dy  0.4537  0.9073  0.2500  2 Cd 3.18, 5 Nd 3.30-3.49
Dy  0.5463  0.0927  0.7500  2 Cd 3.18, 5 Nd 3.30-3.49
Cd  0.7662  0.5323  0.8660  4 Dy 3.04-3.27, 3 Nd 3.23-3.24
Cd  0.2338  0.4677  0.3660  4 Dy 3.04-3.27, 3 Nd 3.23-3.24
Cd  0.7662  0.5323  0.6340  4 Dy 3.04-3.27, 3 Nd 3.23-3.24
Cd  0.2338  0.4677  0.1340  4 Dy 3.04-3.27, 3 Nd 3.23-3.24

Values from the calculation:
DOS at the Fermi energy = 1.182 states/eV/atom
symmetry = Cmcm
electronic total energy = -3.8120 eV per atom
ΔE_f = -69 meV/atom

(3)
Entry from the Alexandria database: a geometry-optimized Nd2Dy3Cd2 structure (PBE).

Cell: 5.4585 5.4628 8.6568 Å, 108.41 90.00 119.97°
Last column: nearest neighbours and their distance in Å.
Fractional coordinates of all 7 atoms:
Nd  0.9250  0.8500  0.2744  4 Cd 3.33-3.34, 3 Dy 3.52, 1 Nd 3.64
Nd  0.0750  0.1500  0.7256  4 Cd 3.33-3.34, 3 Dy 3.52, 1 Nd 3.64
Dy  0.5000  0.0000  0.0000  6 Cd 3.34-3.35
Dy  0.6562  0.3124  0.4684  1 Cd 3.17, 3 Dy 3.19-3.20, 3 Nd 3.52
Dy  0.3438  0.6876  0.5316  1 Cd 3.17, 3 Dy 3.19-3.20, 3 Nd 3.52
Cd  0.7872  0.5744  0.8616  4 Dy 3.17-3.35, 4 Nd 3.33-3.34
Cd  0.2128  0.4256  0.1384  4 Dy 3.17-3.35, 4 Nd 3.33-3.34

Values from the calculation:
polymorph energy (0 for the lowest one) = 0.000 eV per atom
DOS at the Fermi energy = 1.261 states/eV/atom
symmetry = R-3m
electronic total energy = -3.7403 eV per atom
ΔE_f = -144 meV/atom

(4)
Entry from the Alexandria database: a geometry-optimized Nd3Dy3Cd structure (PBE).

Cell: 5.6008 9.5431 9.5459 Å, 120.01 90.00 90.00°
Last column: nearest neighbours and their distance in Å.
Fractional coordinates of all 14 atoms:
Nd  0.2500  0.5256  0.6323  3 Cd 3.45-3.72, 5 Dy 3.48-3.79, 4 Nd 3.50-3.64
Nd  0.2500  0.1064  0.4740  3 Cd 3.45-3.71, 5 Dy 3.48-3.80, 4 Nd 3.50-3.64
Nd  0.2500  0.3675  0.8933  3 Cd 3.45-3.71, 5 Dy 3.48-3.80, 4 Nd 3.50-3.64
Nd  0.7500  0.4744  0.3677  3 Cd 3.45-3.72, 5 Dy 3.48-3.79, 4 Nd 3.50-3.64
Nd  0.7500  0.8936  0.5260  3 Cd 3.45-3.71, 5 Dy 3.48-3.80, 4 Nd 3.50-3.64
Nd  0.7500  0.6325  0.1067  3 Cd 3.45-3.71, 5 Dy 3.48-3.80, 4 Nd 3.50-3.64
Dy  0.7500  0.7630  0.8212  6 Dy 3.46-3.54, 5 Nd 3.48-3.79, 1 Cd 3.60
Dy  0.7500  0.0582  0.2369  6 Dy 3.47-3.54, 5 Nd 3.48-3.80, 1 Cd 3.60
Dy  0.7500  0.1789  0.9421  6 Dy 3.46-3.54, 5 Nd 3.48-3.80, 1 Cd 3.60
Dy  0.2500  0.2370  0.1788  6 Dy 3.46-3.54, 5 Nd 3.48-3.79, 1 Cd 3.60
Dy  0.2500  0.9418  0.7631  6 Dy 3.47-3.54, 5 Nd 3.48-3.80, 1 Cd 3.60
Dy  0.2500  0.8211  0.0579  6 Dy 3.46-3.54, 5 Nd 3.48-3.80, 1 Cd 3.60
Cd  0.7500  0.3331  0.6667  9 Nd 3.45-3.72, 3 Dy 3.60
Cd  0.2500  0.6669  0.3333  9 Nd 3.45-3.72, 3 Dy 3.60

Values from the calculation:
DOS at the Fermi energy = 1.411 states/eV/atom
symmetry = P6_3/m
electronic total energy = -4.1851 eV per atom
ΔE_f = -39 meV/atom

(5)
Entry from the Alexandria database: a geometry-optimized Nd2DyCd8 structure (PBE).

Cell: 5.3500 6.4945 9.0517 Å, 111.00 107.16 90.08°
Last column: nearest neighbours and their distance in Å.
Fractional coordinates of all 11 atoms:
Nd  0.6909  0.6909  0.3819  12 Cd 3.22-3.40
Nd  0.3091  0.3091  0.6181  12 Cd 3.22-3.40
Dy  0.5000  0.0000  0.0000  4 Cd 3.17-3.45
Cd  0.1205  0.3513  0.2494  5 Cd 2.94-3.29
Cd  0.8712  0.1020  0.7506  5 Cd 2.94-3.29
Cd  0.7475  0.5103  0.0000  4 Cd 2.65-2.97
Cd  0.6976  0.1976  0.3952  1 Dy 3.17, 4 Nd 3.22-3.25, 6 Cd 3.25-3.36
Cd  0.3024  0.8024  0.6048  1 Dy 3.17, 4 Nd 3.22-3.25, 6 Cd 3.25-3.36
Cd  0.2525  0.4897  0.0000  4 Cd 2.65-2.97
Cd  0.1288  0.8980  0.2494  5 Cd 2.94-3.29
Cd  0.8795  0.6487  0.7506  5 Cd 2.94-3.29

Values from the calculation:
DOS at the Fermi energy = 0.560 states/eV/atom
symmetry = C2/m
electronic total energy = -2.2004 eV per atom
ΔE_f = -250 meV/atom

(6)
Entry from the Alexandria database: a geometry-optimized Nd12Dy7Cd structure (PBE).

Cell: 10.0252 10.0252 10.0252 Å, 109.47 109.47 109.47°
Last column: nearest neighbours and their distance in Å.
Fractional coordinates of all 20 atoms:
Nd  0.5168  0.7590  0.7578  2 Dy 2.90
Nd  0.0012  0.7590  0.2422  2 Dy 2.90
Nd  0.4832  0.2410  0.2422  2 Dy 2.90
Nd  0.9988  0.2410  0.7578  2 Dy 2.90
Nd  0.7578  0.9988  0.2410  2 Dy 2.90
Nd  0.7578  0.5168  0.7590  2 Dy 2.90
Nd  0.2422  0.0012  0.7590  2 Dy 2.90
Nd  0.2422  0.4832  0.2410  2 Dy 2.90
Nd  0.7590  0.7578  0.5168  2 Dy 2.90
Nd  0.2410  0.2422  0.4832  2 Dy 2.90
Nd  0.7590  0.2422  0.0012  2 Dy 2.90
Nd  0.2410  0.7578  0.9988  2 Dy 2.90
Dy  0.5000  0.5000  0.0000  12 Nd 4.09-4.23
Dy  0.0000  0.5000  0.5000  12 Nd 4.09-4.23
Dy  0.5000  0.0000  0.5000  12 Nd 4.09-4.23
Dy  0.5000  0.5000  0.5000  6 Nd 2.90
Dy  0.0000  0.0000  0.5000  6 Nd 2.90
Dy  0.5000  0.0000  0.0000  6 Nd 2.90
Dy  0.0000  0.5000  0.0000  6 Nd 2.90
Cd  0.0000  0.0000  0.0000  12 Nd 3.95

Values from the calculation:
DOS at the Fermi energy = 1.485 states/eV/atom
symmetry = Im-3
electronic total energy = -3.8471 eV per atom
ΔE_f = 670 meV/atom

(7)
Entry from the Alexandria database: a geometry-optimized Nd7DyCd4 structure (PBE).

Cell: 5.8678 9.2442 8.0925 Å, 70.11 68.74 71.50°
Last column: nearest neighbours and their distance in Å.
Fractional coordinates of all 12 atoms:
Nd  0.7958  0.8831  0.5253  4 Cd 3.50-3.83, 6 Nd 3.54-3.83, 1 Dy 3.83
Nd  0.2042  0.1169  0.4747  4 Cd 3.50-3.83, 6 Nd 3.54-3.83, 1 Dy 3.83
Nd  0.0696  0.5913  0.2694  3 Cd 3.22-3.27, 3 Nd 3.44-3.57
Nd  0.9304  0.4087  0.7306  3 Cd 3.22-3.27, 3 Nd 3.44-3.57
Nd  0.2630  0.6939  0.7800  4 Cd 3.07-3.28
Nd  0.5000  0.0000  0.0000  2 Dy 2.93, 4 Cd 3.05-3.24
Nd  0.7370  0.3061  0.2200  4 Cd 3.07-3.28
Dy  0.0000  0.0000  0.0000  2 Nd 2.93
Cd  0.5406  0.2870  0.6317  4 Nd 3.07-3.27, 1 Cd 3.08
Cd  0.4594  0.7130  0.3683  4 Nd 3.07-3.27, 1 Cd 3.08
Cd  0.6812  0.6568  0.9808  5 Nd 3.05-3.28, 1 Cd 3.08
Cd  0.3188  0.3432  0.0192  5 Nd 3.05-3.28, 1 Cd 3.08

Values from the calculation:
DOS at the Fermi energy = 1.200 states/eV/atom
symmetry = C2/m
electronic total energy = -3.4960 eV per atom
ΔE_f = -26 meV/atom

(8)
Entry from the Alexandria database: a geometry-optimized NdDy2Cd5 structure (PBE).

Cell: 5.1919 5.1919 8.3781 Å, 108.05 108.05 90.00°
Last column: nearest neighbours and their distance in Å.
Fractional coordinates of all 8 atoms:
Nd  0.0000  0.0000  0.0000  8 Cd 3.19
Dy  0.7370  0.7370  0.4739  8 Cd 3.11-3.34
Dy  0.2630  0.2630  0.5261  8 Cd 3.11-3.34
Cd  0.5000  0.5000  0.0000  8 Cd 3.19, 2 Dy 3.57
Cd  0.8768  0.3768  0.7536  4 Dy 3.11-3.34, 2 Nd 3.19, 2 Cd 3.19
Cd  0.3768  0.8768  0.7536  4 Dy 3.11-3.34, 2 Cd 3.19, 2 Nd 3.19
Cd  0.1232  0.6232  0.2464  4 Dy 3.11-3.34, 2 Nd 3.19, 2 Cd 3.19
Cd  0.6232  0.1232  0.2464  4 Dy 3.11-3.34, 2 Cd 3.19, 2 Nd 3.19

Values from the calculation:
DOS at the Fermi energy = 0.474 states/eV/atom
symmetry = I4/mmm
electronic total energy = -2.6331 eV per atom
ΔE_f = -315 meV/atom

(9)
Entry from the Alexandria database: a geometry-optimized NdDy2Cd structure (PBE).

Cell: 3.6056 3.6056 11.0519 Å, 80.61 80.61 60.00°
Last column: nearest neighbours and their distance in Å.
Fractional coordinates of all 4 atoms:
Cd  0.0000  0.0000  0.0000  6 Dy 3.25, 6 Cd 3.61
Nd  0.5000  0.5000  0.5000  6 Dy 3.60, 6 Nd 3.61
Dy  0.2568  0.2568  0.2295  3 Cd 3.25, 3 Nd 3.60, 6 Dy 3.61
Dy  0.7432  0.7432  0.7705  3 Cd 3.25, 3 Nd 3.60, 6 Dy 3.61

Values from the calculation:
polymorph energy (0 for the lowest one) = 0.067 eV per atom
DOS at the Fermi energy = 1.046 states/eV/atom
symmetry = R-3m
electronic total energy = -3.8011 eV per atom
ΔE_f = -79 meV/atom

(10)
Entry from the Alexandria database: a geometry-optimized Nd4DyCd2 structure (PBE).

Cell: 5.6199 5.6199 9.4006 Å, 72.61 72.61 60.00°
Last column: nearest neighbours and their distance in Å.
Fractional coordinates of all 7 atoms:
Nd  0.7358  0.7358  0.7927  4 Cd 3.18-3.28, 1 Nd 3.56
Nd  0.8701  0.8701  0.3897  3 Dy 3.39, 7 Nd 3.56-3.78
Nd  0.2642  0.2642  0.2073  4 Cd 3.18-3.28, 1 Nd 3.56
Nd  0.1299  0.1299  0.6103  3 Dy 3.39, 7 Nd 3.56-3.78
Dy  0.5000  0.5000  0.5000  2 Cd 3.06, 6 Nd 3.39
Cd  0.6154  0.6154  0.1537  1 Dy 3.06, 4 Nd 3.18-3.28
Cd  0.3846  0.3846  0.8463  1 Dy 3.06, 4 Nd 3.18-3.28

Values from the calculation:
DOS at the Fermi energy = 1.432 states/eV/atom
symmetry = R-3m
electronic total energy = -3.5448 eV per atom
ΔE_f = 99 meV/atom

(11)
Entry from the Alexandria database: a geometry-optimized Nd8Dy6Cd structure (PBE).

Cell: 6.4737 9.4422 9.4422 Å, 120.00 90.00 90.00°
Last column: nearest neighbours and their distance in Å.
Fractional coordinates of all 15 atoms:
Nd  0.8167  0.0420  0.2714  1 Cd 3.15, 3 Nd 3.36-3.37, 2 Dy 3.38-3.50
Nd  0.8167  0.7286  0.7705  1 Cd 3.15, 3 Nd 3.36-3.37, 2 Dy 3.38-3.50
Nd  0.8167  0.2295  0.9580  1 Cd 3.15, 3 Nd 3.36-3.37, 2 Dy 3.38-3.50
Nd  0.1833  0.9580  0.7286  1 Cd 3.15, 3 Nd 3.36-3.37, 2 Dy 3.38-3.50
Nd  0.1833  0.2714  0.2295  1 Cd 3.15, 3 Nd 3.36-3.37, 2 Dy 3.38-3.50
Nd  0.1833  0.7705  0.0420  1 Cd 3.15, 3 Nd 3.36-3.37, 2 Dy 3.38-3.50
Nd  0.8442  0.3333  0.6667  3 Nd 3.36
Nd  0.1558  0.6667  0.3333  3 Nd 3.36
Dy  0.6717  0.6459  0.0971  1 Dy 3.29, 5 Nd 3.38-3.66
Dy  0.6717  0.9029  0.5488  1 Dy 3.29, 5 Nd 3.38-3.66
Dy  0.6717  0.4512  0.3541  1 Dy 3.29, 5 Nd 3.38-3.66
Dy  0.3283  0.3541  0.9029  1 Dy 3.29, 5 Nd 3.38-3.66
Dy  0.3283  0.0971  0.4512  1 Dy 3.29, 5 Nd 3.38-3.66
Dy  0.3283  0.5488  0.6459  1 Dy 3.29, 5 Nd 3.38-3.66
Cd  0.5000  0.0000  0.0000  6 Nd 3.15

Values from the calculation:
DOS at the Fermi energy = 1.421 states/eV/atom
symmetry = P-3
electronic total energy = -4.3481 eV per atom
ΔE_f = 97 meV/atom

(12)
Entry from the Alexandria database: a geometry-optimized Nd2DyCd2 structure (PBE).

Cell: 3.7735 5.4148 14.3227 Å, 90.00 97.55 90.00°
Last column: nearest neighbours and their distance in Å.
Fractional coordinates of all 10 atoms:
Nd  0.0442  0.7500  0.0871  8 Cd 3.29-3.43, 2 Nd 3.67
Nd  0.9558  0.2500  0.9129  8 Cd 3.29-3.43, 2 Nd 3.67
Nd  0.2335  0.7500  0.4689  2 Cd 3.31, 4 Nd 3.41-3.42, 2 Dy 3.63
Nd  0.7665  0.2500  0.5311  2 Cd 3.31, 4 Nd 3.41-3.42, 2 Dy 3.63
Dy  0.8502  0.7500  0.7015  6 Cd 3.22-3.32
Dy  0.1498  0.2500  0.2985  6 Cd 3.22-3.32
Cd  0.6385  0.7500  0.2772  4 Nd 3.29-3.31, 4 Dy 3.31-3.32, 2 Cd 3.56
Cd  0.3615  0.2500  0.7228  4 Nd 3.29-3.31, 4 Dy 3.31-3.32, 2 Cd 3.56
Cd  0.4423  0.7500  0.8855  2 Dy 3.22, 6 Nd 3.32-3.43, 2 Cd 3.56
Cd  0.5577  0.2500  0.1145  2 Dy 3.22, 6 Nd 3.32-3.43, 2 Cd 3.56

Values from the calculation:
polymorph energy (0 for the lowest one) = 0.000 eV per atom
DOS at the Fermi energy = 1.095 states/eV/atom
symmetry = P2_1/m
electronic total energy = -3.4400 eV per atom
ΔE_f = -246 meV/atom